## La8CoNi2Rh (GGA-PBE)

Data for La8CoNi2Rh after structural relaxation.

abc: 6.585 8.413 6.787
angles: 90.00 91.41 90.00
Space group P2/m (No. 10)
Inequivalent atoms, fractional coordinates:
La 0.135 0.000 0.239 [2 per cell]
La 0.146 0.500 0.238 [2 per cell]
La 0.353 0.260 0.727 [4 per cell]
Co 0.500 0.500 0.500 [1 per cell]
Ni 0.000 0.250 0.000 [2 per cell]
Rh 0.500 0.000 0.500 [1 per cell]

Output
ρ	6.1	g/cm3
volume	375.9	Å³ per cell
crystal system	monoclinic
E_tot	-0.419	Ry/atom

***

## La8CoNiRh2 (GGA-PBE)

Data for La8CoNiRh2 after structural relaxation.

abc: 6.733 8.450 6.793
angles: 90.00 91.17 90.00
Space group P2/m (No. 10)
Inequivalent atoms, fractional coordinates:
La 0.215 0.243 0.166 [4 per cell]
La 0.278 0.000 0.677 [2 per cell]
La 0.281 0.500 0.674 [2 per cell]
Co 0.000 0.000 0.000 [1 per cell]
Ni 0.000 0.500 0.000 [1 per cell]
Rh 0.500 0.250 0.500 [2 per cell]

Output
ρ	6.2	g/cm3
volume	386.4	Å³ per cell
crystal system	monoclinic
E_tot	-0.436	Ry/atom

***

## La2CoNiRu (GGA-PBE)

Data for La2CoNiRu after structural relaxation.

abc: 5.322 5.322 4.217
angles: 90.00 90.00 90.00
Space group P4/mmm (No. 123)
Inequivalent atoms, fractional coordinates:
La 0.000 0.500 0.000 [2 per cell]
Co 0.000 0.000 0.500 [1 per cell]
Ni 0.000 0.000 0.000 [1 per cell]
Ru 0.500 0.500 0.500 [1 per cell]

Output
ρ	6.9	g/cm3
volume	119.4	Å³ per cell
crystal system	tetragonal
E_tot	-0.438	Ry/atom

***

## LaSmCoNi (GGA-PBE)

Data for LaSmCoNi after structural relaxation.

abc: 3.982 3.905 11.172
angles: 90.00 90.00 90.00
Space group Amm2 (No. 38)
Inequivalent atoms, fractional coordinates:
La 0.000 0.000 0.000 [2 per cell]
Sm 0.500 0.000 0.276 [2 per cell]
Co 0.500 0.000 0.567 [2 per cell]
Ni 0.000 0.000 0.706 [2 per cell]

Output
ρ	7.8	g/cm3
volume	173.7	Å³ per cell
crystal system	orthorhombic
E_tot	-0.430	Ry/atom

***

Number 1: energy relative to the elements -0.2429 eV/atom, total magnetic moment 0.000 μB/cell. Number 2: energy relative to the elements -0.3417 eV/atom, total magnetic moment 0.000 μB/cell. Number 3: energy relative to the elements 0.4379 eV/atom, total magnetic moment 2.182 μB/cell. Number 4: energy relative to the elements -0.2111 eV/atom, total magnetic moment 0.000 μB/cell.